(1)
Entry from the Alexandria database: a geometry-optimized AlCd2Br structure (PBEsol).

Unit cell a=6.889 b=7.136 c=6.889 alpha=61.14 beta=90.00 gamma=118.86
Fractional positions:
Br 0.000 0.000 0.000
Br 0.750 0.500 0.750
Al 0.250 0.500 0.250
Al 0.500 0.000 0.500
Cd 0.875 0.250 0.601
Cd 0.149 0.750 0.875
Cd 0.375 0.250 0.149
Cd 0.601 0.750 0.375

* energy above the most stable polymorph in this dataset: 0 meV/atom
* DFT total energy: -1.948 eV/atom
* DOS(E_F): 0.94 states/eV/f.u.
* M_tot: 0.0000 μB per atom
* space-group type: No. 122



(2)
Entry from the Alexandria database: a geometry-optimized AlCdBr structure (PBEsol).

Unit cell a=5.170 b=5.170 c=5.170 alpha=60.00 beta=60.00 gamma=60.00
Fractional positions:
Br 0.750 0.750 0.750
Cd 0.000 0.000 0.000
Al 0.500 0.500 0.500

* energy above the most stable polymorph in this dataset: 421 meV/atom
* DFT total energy: -1.987 eV/atom
* DOS(E_F): 0.47 states/eV/f.u.
* M_tot: 0.0000 μB per atom
* space-group type: No. 216



(3)
Entry from the Alexandria database: a geometry-optimized AlCd2Br structure (PBEsol).

Unit cell a=5.150 b=5.150 c=5.150 alpha=60.00 beta=60.00 gamma=60.00
Fractional positions:
Al 0.500 0.500 0.500
Cd 0.750 0.750 0.750
Cd 0.000 0.000 0.000
Br 0.250 0.250 0.250

* energy above the most stable polymorph in this dataset: 23 meV/atom
* DFT total energy: -1.924 eV/atom
* DOS(E_F): 0.60 states/eV/f.u.
* M_tot: 0.0000 μB per atom
* space-group type: No. 216



(4)
Entry from the Alexandria database: a geometry-optimized Al3CdBr structure (PBEsol).

Unit cell a=5.226 b=5.226 c=5.226 alpha=90.00 beta=90.00 gamma=90.00
Fractional positions:
Al 0.000 0.000 0.500
Al 0.500 0.000 0.000
Al 0.000 0.500 0.000
Cd 0.500 0.500 0.500
Br 0.000 0.000 0.000

* energy above the most stable polymorph in this dataset: 348 meV/atom
* DFT total energy: -2.219 eV/atom
* DOS(E_F): 3.16 states/eV/f.u.
* M_tot: 0.0000 μB per atom
* space-group type: No. 221



(5)
Entry from the Alexandria database: a geometry-optimized Al3CdBr structure (PBEsol).

Unit cell a=5.107 b=5.107 c=5.107 alpha=90.00 beta=90.00 gamma=90.00
Fractional positions:
Cd 0.000 0.000 0.000
Br 0.500 0.500 0.500
Al 0.000 0.500 0.000
Al 0.000 0.000 0.500
Al 0.500 0.000 0.000

* energy above the most stable polymorph in this dataset: 0 meV/atom
* DFT total energy: -2.567 eV/atom
* DOS(E_F): 2.87 states/eV/f.u.
* M_tot: 0.0001 μB per atom
* space-group type: No. 221



(6)
Entry from the Alexandria database: a geometry-optimized AlCoBr2 structure (PBEsol).

Unit cell a=3.298 b=4.117 c=5.956 alpha=90.00 beta=90.00 gamma=90.00
Each line ends with the local moment (μB).
Fractional positions:
Al 0.000 0.500 0.500  0.01
Br 0.000 0.000 0.000  0.07
Br 0.500 0.000 0.500  0.00
Co 0.500 0.500 0.000  1.78

* energy above the most stable polymorph in this dataset: 583 meV/atom
* DFT total energy: -3.482 eV/atom
* DOS(E_F): 5.57 states/eV/f.u.
* M_tot: 0.4487 μB per atom
* space-group type: No. 47



(7)
Entry from the Alexandria database: a geometry-optimized AlCoBr2 structure (PBEsol).

Unit cell a=3.531 b=3.467 c=8.233 alpha=90.00 beta=90.00 gamma=120.61
Each line ends with the local moment (μB).
Fractional positions:
Co 0.500 0.000 0.500  1.90
Al 0.500 0.000 0.000  0.01
Br 0.000 0.000 0.298  0.07
Br 0.000 0.000 0.702  0.07

* energy above the most stable polymorph in this dataset: 418 meV/atom
* DFT total energy: -3.647 eV/atom
* DOS(E_F): 5.90 states/eV/f.u.
* M_tot: 0.5288 μB per atom
* space-group type: No. 65



(8)
Entry from the Alexandria database: a geometry-optimized AlCo2Br structure (PBEsol).

Unit cell a=5.385 b=5.385 c=6.356 alpha=115.06 beta=115.06 gamma=90.00
Each line ends with the local moment (μB).
Fractional positions:
Al 0.750 0.250 0.500  -0.04
Al 0.500 0.500 0.000  -0.04
Co 0.125 0.114 0.750  0.90
Co 0.886 0.375 0.250  0.90
Co 0.625 0.636 0.750  0.90
Co 0.364 0.875 0.250  0.90
Br 0.250 0.750 0.500  0.06
Br 0.000 0.000 0.000  0.06

* DFT total energy: -4.657 eV/atom
* DOS(E_F): 3.46 states/eV/f.u.
* M_tot: 0.4428 μB per atom
* space-group type: No. 122